Na2CrNiO4: relaxed, PBE+U.

Total energy: -5.593 eV per atom
Crystal system: monoclinic
Total moment: 4.00 Bohr magnetons per cell

abc: 3.009 5.259 5.627
angles: 108.81 90.00 90.00
Sites, in units of the cell vectors:
Na  0.500  0.000  0.500
Na  0.000  0.500  0.500
Cr  0.500  0.500  0.000
Ni  0.000  0.000  0.000
O  0.500  0.241  0.191
O  0.500  0.759  0.809
O  0.000  0.279  0.795
O  0.000  0.721  0.205